GGA-PBE SrEu2Mg, optimized geometry; raw total energy = -23.9 eV per cell; E_form = -0.020 eV per atom; mass density = 4.23 g/cm³
1.0
4.076 0.000 0.000
0.000 4.076 0.000
0.000 0.000 9.823
Eu Sr Mg
2 1 1
Cartesian
0.000 0.000 7.864 Eu
0.000 0.000 1.959 Eu
2.038 2.038 4.912 Sr
2.038 2.038 0.000 Mg